Record 1
Pr3Cu2Pt7: optimized geometry, PBE.

abc: 5.501 5.501 9.214
angles: 72.63 72.63 60.00
Fractional coordinates of all 12 atoms:
Pr: 0.000 0.000 0.000
Pr: 0.861 0.861 0.418
Pr: 0.139 0.139 0.582
Cu: 0.667 0.667 0.000
Cu: 0.333 0.333 0.000
Pt: 0.500 0.500 0.500
Pt: 0.922 0.418 0.241
Pt: 0.418 0.922 0.241
Pt: 0.418 0.418 0.241
Pt: 0.078 0.582 0.759
Pt: 0.582 0.582 0.759
Pt: 0.582 0.078 0.759

Output
- M_tot: 0.000 μB/f.u.
- ΔE_f: -0.8532 eV per atom
- Space group: R-3m, No. 166
- Density of states at the Fermi level: 0.558 states/eV per atom

Record 2
BeAl2Cd: optimized geometry, PBE.

abc: 8.935 8.935 8.935
angles: 18.91 18.91 18.91
Fractional coordinates of all 4 atoms:
Be: 0.250 0.250 0.250
Al: 0.988 0.988 0.988
Al: 0.512 0.512 0.512
Cd: 0.750 0.750 0.750

Output
- M_tot: 0.000 μB/f.u.
- ΔE_f: 0.2104 eV per atom
- Space group: R-3m, No. 166
- Density of states at the Fermi level: 0.311 states/eV per atom
- Excess energy over the best structure of this formula in the dataset: 0 meV per atom

Record 3
Dy2TmAl2: optimized geometry, PBE.

abc: 4.762 5.765 5.765
angles: 69.29 65.61 65.61
Fractional coordinates of all 5 atoms:
Dy: 0.197 0.303 0.303
Dy: 0.803 0.697 0.697
Tm: 0.000 0.000 0.000
Al: 0.500 0.300 0.700
Al: 0.500 0.700 0.300

Output
- M_tot: 0.000 μB/f.u.
- ΔE_f: -0.3142 eV per atom
- Space group: Immm, No. 71
- Density of states at the Fermi level: 1.120 states/eV per atom

Record 4
ZrCuRe2: optimized geometry, PBE.

abc: 2.686 2.686 8.786
angles: 90.00 90.00 90.00
Fractional coordinates of all 4 atoms:
Cu: 0.500 0.500 0.750
Re: 0.000 0.000 0.972
Re: 0.000 0.000 0.528
Zr: 0.500 0.500 0.250

Output
- M_tot: 0.000 μB/f.u.
- ΔE_f: 0.3346 eV per atom
- Space group: P4/mmm, No. 123
- Density of states at the Fermi level: 1.329 states/eV per atom
- Excess energy over the best structure of this formula in the dataset: 314 meV per atom

Record 5
NaGaCu: optimized geometry, PBE.

abc: 4.552 4.552 10.127
angles: 90.76 94.07 144.34
Fractional coordinates of all 6 atoms:
Na: 0.952 0.087 0.039
Na: 0.383 0.150 0.533
Cu: 0.550 0.272 0.823
Cu: 0.553 0.756 0.310
Ga: 0.796 0.460 0.256
Ga: 0.245 0.515 0.759

Output
- M_tot: 0.000 μB/f.u.
- ΔE_f: 0.0757 eV per atom
- Space group: Cm, No. 8
- Density of states at the Fermi level: 0.352 states/eV per atom

Record 6
YNiSe2: optimized geometry, PBE.

abc: 7.457 4.626 3.551
angles: 90.08 61.45 128.50
Fractional coordinates of all 4 atoms:
Ni: 0.500 0.500 0.000
Se: 0.000 0.000 0.000
Se: 0.500 0.000 0.500
Y: 0.000 0.500 0.500

Output
- M_tot: 0.000 μB/f.u.
- E_form (uncorrected): -17.9 kcal/mol of atoms
- Space group: C2/m, No. 12
- Density of states at the Fermi level: 0.647 states/eV per atom

Record 7
Zr3CrP: optimized geometry, PBE.

abc: 4.877 4.877 4.877
angles: 90.00 90.00 90.00
Fractional coordinates of all 5 atoms:
Cr: 0.500 0.500 0.500
Zr: 0.000 0.500 0.000
Zr: 0.000 0.000 0.500
Zr: 0.500 0.000 0.000
P: 0.000 0.000 0.000

Output
- M_tot: 3.733 μB/f.u.
- ΔE_f: -0.0250 eV per atom
- Space group: Pm-3m, No. 221
- Density of states at the Fermi level: 0.769 states/eV per atom
- Excess energy over the best structure of this formula in the dataset: 0 meV per atom

Record 8
PmSm12Sc3: optimized geometry, PBE.

abc: 5.038 5.038 20.096
angles: 90.00 90.00 90.00
Fractional coordinates of all 16 atoms:
Pm: 0.000 0.000 0.000
Sm: 0.500 0.500 0.000
Sm: 0.500 0.500 0.254
Sm: 0.500 0.500 0.500
Sm: 0.500 0.500 0.746
Sm: 0.500 0.000 0.130
Sm: 0.500 0.000 0.377
Sm: 0.500 0.000 0.623
Sm: 0.500 0.000 0.870
Sm: 0.000 0.500 0.130
Sm: 0.000 0.500 0.377
Sm: 0.000 0.500 0.623
Sm: 0.000 0.500 0.870
Sc: 0.000 0.000 0.253
Sc: 0.000 0.000 0.500
Sc: 0.000 0.000 0.747

Output
- M_tot: 0.000 μB/f.u.
- ΔE_f: 0.0357 eV per atom
- Space group: P4/mmm, No. 123
- Density of states at the Fermi level: 1.513 states/eV per atom

Record 9
Sc5ZnIn4: optimized geometry, PBE.

abc: 3.378 3.378 19.105
angles: 90.00 90.00 90.00
Fractional coordinates of all 10 atoms:
Sc: 0.500 0.500 0.084
Sc: 0.500 0.500 0.291
Sc: 0.500 0.500 0.500
Sc: 0.500 0.500 0.709
Sc: 0.500 0.500 0.916
Zn: 0.000 0.000 0.000
In: 0.000 0.000 0.186
In: 0.000 0.000 0.395
In: 0.000 0.000 0.605
In: 0.000 0.000 0.814

Output
- M_tot: 0.261 μB/f.u.
- ΔE_f: -0.4246 eV per atom
- Space group: P4/mmm, No. 123
- Density of states at the Fermi level: 0.600 states/eV per atom

Record 10
LaDyCuSe4: optimized geometry, PBE.

abc: 7.079 5.920 8.337
angles: 90.00 107.07 90.00
Fractional coordinates of all 14 atoms:
La: 0.742 0.750 0.934
La: 0.258 0.250 0.066
Dy: 0.727 0.750 0.433
Dy: 0.273 0.250 0.567
Cu: 0.256 0.750 0.314
Cu: 0.744 0.250 0.686
Se: 0.017 0.510 0.740
Se: 0.983 0.010 0.260
Se: 0.983 0.490 0.260
Se: 0.017 0.990 0.740
Se: 0.430 0.750 0.110
Se: 0.570 0.250 0.890
Se: 0.431 0.750 0.606
Se: 0.569 0.250 0.394

Output
- M_tot: 0.000 μB/f.u.
- E_form (uncorrected): -32.7 kcal/mol of atoms
- Space group: P2_1/m, No. 11
- Density of states at the Fermi level: 0.249 states/eV per atom

Record 11
PmEr5Th4: optimized geometry, PBE.

abc: 3.524 11.140 9.009
angles: 101.10 101.39 90.03
Fractional coordinates of all 10 atoms:
Pm: 0.500 0.000 0.000
Er: 0.168 0.512 0.334
Er: 0.167 0.938 0.333
Er: 0.833 0.062 0.667
Er: 0.500 0.500 0.000
Er: 0.832 0.488 0.666
Th: 0.680 0.233 0.356
Th: 0.012 0.262 0.024
Th: 0.320 0.767 0.644
Th: 0.988 0.738 0.976

Output
- M_tot: 0.000 μB/f.u.
- ΔE_f: 0.2868 eV per atom
- Space group: P-1, No. 2
- Density of states at the Fermi level: 1.502 states/eV per atom

Record 12
Pm2Zn2Ni5Ge: optimized geometry, PBE.

abc: 3.445 9.562 9.562
angles: 90.00 90.00 90.00
Fractional coordinates of all 20 atoms:
Pm: 0.000 0.679 0.179
Pm: 0.000 0.321 0.821
Pm: 0.000 0.179 0.321
Pm: 0.000 0.821 0.679
Zn: 0.000 0.120 0.620
Zn: 0.000 0.880 0.380
Zn: 0.000 0.620 0.880
Zn: 0.000 0.380 0.120
Ni: 0.500 0.197 0.053
Ni: 0.500 0.803 0.947
Ni: 0.500 0.053 0.803
Ni: 0.500 0.697 0.447
Ni: 0.500 0.947 0.197
Ni: 0.500 0.303 0.553
Ni: 0.500 0.553 0.697
Ni: 0.500 0.447 0.303
Ni: 0.500 0.500 0.000
Ni: 0.500 0.000 0.500
Ge: 0.000 0.000 0.000
Ge: 0.000 0.500 0.500

Output
- M_tot: 0.000 μB/f.u.
- ΔE_f: -0.2291 eV per atom
- Space group: P4/mbm, No. 127
- Density of states at the Fermi level: 0.626 states/eV per atom

Record 13
Nd2TmAl12Co3: optimized geometry, PBE.

abc: 7.925 7.925 7.925
angles: 64.14 64.14 64.14
Fractional coordinates of all 18 atoms:
Nd: 0.585 0.585 0.585
Nd: 0.415 0.415 0.415
Tm: 0.000 0.000 0.000
Al: 0.277 0.277 0.901
Al: 0.840 0.840 0.469
Al: 0.469 0.840 0.840
Al: 0.901 0.277 0.277
Al: 0.840 0.469 0.840
Al: 0.277 0.901 0.277
Al: 0.723 0.723 0.099
Al: 0.160 0.160 0.531
Al: 0.531 0.160 0.160
Al: 0.099 0.723 0.723
Al: 0.160 0.531 0.160
Al: 0.723 0.099 0.723
Co: 0.500 0.000 0.000
Co: 0.000 0.500 0.000
Co: 0.000 0.000 0.500

Output
- M_tot: 0.000 μB/f.u.
- ΔE_f: 0.0126 eV per atom
- Space group: R-3m, No. 166
- Density of states at the Fermi level: 0.570 states/eV per atom

Record 14
BaTlPb: optimized geometry, PBE.

abc: 5.673 5.673 5.673
angles: 60.00 60.00 60.00
Fractional coordinates of all 3 atoms:
Pb: 0.000 0.000 0.000
Tl: 0.500 0.500 0.500
Ba: 0.750 0.750 0.750

Output
- M_tot: 0.000 μB/f.u.
- ΔE_f: -0.0197 eV per atom
- Space group: F-43m, No. 216
- Density of states at the Fermi level: 0.968 states/eV per atom

Record 15
PuCd4Hg: optimized geometry, PBE.

abc: 4.389 7.700 9.088
angles: 90.00 103.97 90.00
Fractional coordinates of all 12 atoms:
Pu: 0.120 0.250 0.240
Pu: 0.880 0.750 0.760
Cd: 0.500 0.500 0.000
Cd: 0.500 0.000 0.000
Cd: 0.666 0.943 0.332
Cd: 0.334 0.057 0.668
Cd: 0.334 0.443 0.668
Cd: 0.666 0.557 0.332
Cd: 0.066 0.750 0.132
Cd: 0.934 0.250 0.868
Hg: 0.242 0.750 0.483
Hg: 0.758 0.250 0.517

Output
- M_tot: 5.860 μB/f.u.
- ΔE_f: -0.0144 eV per atom
- Space group: Cmcm, No. 63
- Density of states at the Fermi level: 2.483 states/eV per atom
- Excess energy over the best structure of this formula in the dataset: 26 meV per atom

Record 16
NaCa2UO6: optimized geometry, PBE.

abc: 5.730 5.767 6.138
angles: 118.02 117.94 90.00
Fractional coordinates of all 10 atoms:
Na: 0.500 0.000 0.000
Ca: 0.204 0.253 0.506
Ca: 0.796 0.747 0.494
U: 0.000 0.500 0.000
O: 0.353 0.700 0.399
O: 0.139 0.171 0.823
O: 0.861 0.349 0.177
O: 0.139 0.651 0.823
O: 0.861 0.829 0.177
O: 0.647 0.300 0.601

Output
- M_tot: 0.024 μB/f.u.
- E_form (uncorrected): -62.0 kcal/mol of atoms
- Space group: C2/m, No. 12
- Density of states at the Fermi level: 0.810 states/eV per atom

Record 17
Ti5MnAl2: optimized geometry, PBE.

abc: 4.522 4.522 6.896
angles: 109.14 109.14 90.00
Fractional coordinates of all 8 atoms:
Ti: 0.500 0.500 0.000
Ti: 0.885 0.385 0.769
Ti: 0.385 0.885 0.769
Ti: 0.115 0.615 0.231
Ti: 0.615 0.115 0.231
Mn: 0.000 0.000 0.000
Al: 0.750 0.750 0.501
Al: 0.250 0.250 0.499

Output
- M_tot: 0.000 μB/f.u.
- ΔE_f: -0.2437 eV per atom
- Space group: I4/mmm, No. 139
- Density of states at the Fermi level: 1.133 states/eV per atom

Record 18
Dy6TlSe8: optimized geometry, PBE.

abc: 8.061 8.061 8.061
angles: 93.38 93.38 93.38
Fractional coordinates of all 15 atoms:
Dy: 0.620 0.435 0.804
Dy: 0.435 0.804 0.620
Dy: 0.804 0.620 0.435
Dy: 0.380 0.565 0.196
Dy: 0.565 0.196 0.380
Dy: 0.196 0.380 0.565
Tl: 0.000 0.000 0.000
Se: 0.755 0.755 0.755
Se: 0.245 0.245 0.245
Se: 0.589 0.856 0.306
Se: 0.856 0.306 0.589
Se: 0.306 0.589 0.856
Se: 0.411 0.144 0.694
Se: 0.144 0.694 0.411
Se: 0.694 0.411 0.144

Output
- M_tot: 0.005 μB/f.u.
- E_form (uncorrected): -35.7 kcal/mol of atoms
- Space group: R-3, No. 148
- Density of states at the Fermi level: 0.526 states/eV per atom

Record 19
Pu3Th3In5: optimized geometry, PBE.

abc: 3.362 10.565 10.565
angles: 120.00 90.00 90.00
Fractional coordinates of all 11 atoms:
Pu: 0.500 0.839 0.000
Pu: 0.500 0.161 0.161
Pu: 0.500 0.000 0.839
Th: 0.000 0.607 0.000
Th: 0.000 0.000 0.607
Th: 0.000 0.393 0.393
In: 0.500 0.667 0.333
In: 0.500 0.333 0.667
In: 0.500 0.342 0.000
In: 0.500 0.658 0.658
In: 0.500 0.000 0.342

Output
- M_tot: 17.652 μB/f.u.
- ΔE_f: 0.2494 eV per atom
- Space group: P-62m, No. 189
- Density of states at the Fermi level: 1.984 states/eV per atom

Record 20
PmLuZrIn: optimized geometry, PBE.

abc: 5.285 5.285 5.285
angles: 60.00 60.00 60.00
Fractional coordinates of all 4 atoms:
Lu: 0.750 0.750 0.750
In: 0.250 0.250 0.250
Zr: 0.000 0.000 0.000
Pm: 0.500 0.500 0.500

Output
- M_tot: 0.002 μB/f.u.
- ΔE_f: -0.0621 eV per atom
- Space group: F-43m, No. 216
- Density of states at the Fermi level: 1.677 states/eV per atom

| no. | calculated volume (Å³/f.u.) |
| --- | --- |
| 1 | 227 |
| 2 | 65 |
| 3 | 128 |
| 4 | 63 |
| 5 | 61 |
| 6 | 76 |
| 7 | 116 |
| 8 | 510 |
| 9 | 218 |
| 10 | 167 |
| 11 | 340 |
| 12 | 157 |
| 13 | 384 |
| 14 | 129 |
| 15 | 149 |
| 16 | 152 |
| 17 | 125 |
| 18 | 521 |
| 19 | 325 |
| 20 | 104 |